(1)
# TbPmSm2Y6 PBE-GGA optimized geometry
data_TbPmSm2Y6
_cell_length_a 9.110
_cell_length_b 15.041
_cell_length_c 9.830
_cell_angle_alpha 90.00
_cell_angle_beta 99.98
_cell_angle_gamma 90.00
_space_group_name_H-M_alt 'C 1 2/c 1'
_space_group_IT_number 15
_space_group_name_Hall '-C 2yc'
loop_
_atom_site_label
_atom_site_type_symbol
_atom_site_fract_x
_atom_site_fract_y
_atom_site_fract_z
Tb1 Tb 0.000 0.019 0.250
Pm1 Pm 0.000 0.405 0.750
Sm1 Sm 0.240 0.050 0.544
Y1 Y 0.067 0.188 0.944
Y2 Y 0.101 0.396 0.119
Y3 Y 0.200 0.223 0.316
# DOS(E_F): 62.65 states/eV/cell
# ΔE_f: 0.117 eV per atom
# density: 5698 kg/m³

(2)
# ScTcOs2 PBE-GGA optimized geometry
data_ScTcOs2
_cell_length_a 4.517
_cell_length_b 4.517
_cell_length_c 3.029
_cell_angle_alpha 90.00
_cell_angle_beta 90.00
_cell_angle_gamma 90.00
_space_group_name_H-M_alt 'P 4/m m m'
_space_group_IT_number 123
_space_group_name_Hall '-P 4 2'
loop_
_atom_site_label
_atom_site_type_symbol
_atom_site_fract_x
_atom_site_fract_y
_atom_site_fract_z
Sc1 Sc 0.000 0.000 0.000
Tc1 Tc 0.500 0.500 0.000
Os1 Os 0.000 0.500 0.500
# DOS(E_F): 4.35 states/eV/cell
# ΔE_f: 0.007 eV per atom
# density: 14060 kg/m³